# 1
Compound: TlIr2Ru
Source: the Alexandria database
Functional: GGA-PBE
Structure: optimized geometry

a = 9.1522 Å, b = 2.8649 Å, c = 5.0642 Å
α = 90.00°, β = 99.56°, γ = 90.00°
Closest atoms and distances in Å follow each position.
Sites, in units of the cell vectors:
Tl 0.0000 0.0000 0.0000  7 Ir 2.81-2.93, 3 Ru 2.85-2.94, 2 Tl 2.86
Tl 0.5000 0.5000 0.0000  7 Ir 2.81-2.93, 3 Ru 2.85-2.94, 2 Tl 2.86
Ir 0.2413 0.0000 0.7224  2 Ru 2.65, 5 Ir 2.74-2.86, 3 Tl 2.81-2.92
Ir 0.4974 0.0000 0.4937  3 Ru 2.68-2.75, 5 Ir 2.74-2.86, 4 Tl 2.89-2.93
Ir 0.7413 0.5000 0.7224  2 Ru 2.65, 5 Ir 2.74-2.86, 3 Tl 2.81-2.92
Ir 0.9974 0.5000 0.4937  3 Ru 2.68-2.75, 5 Ir 2.74-2.86, 4 Tl 2.89-2.93
Ru 0.2579 0.5000 0.2892  5 Ir 2.65-2.75, 3 Tl 2.85-2.94, 2 Ru 2.86
Ru 0.7579 0.0000 0.2892  5 Ir 2.65-2.75, 3 Tl 2.85-2.94, 2 Ru 2.86

Summary:
Symmetry: Cm (8)
Energy relative to the lowest polymorph listed for this composition, meV per atom: 60
Crystal system: monoclinic
Total moment, μB/atom: 0.000

# 2
Compound: TlIr2Ru
Source: the Alexandria database
Functional: GGA-PBE
Structure: optimized geometry

a = 5.9877 Å, b = 5.9877 Å, c = 11.0822 Å
α = 90.00°, β = 90.00°, γ = 90.00°
Closest atoms and distances in Å follow each position.
Sites, in units of the cell vectors:
Tl 0.0000 0.0000 0.0000  4 Ir 2.72
Tl 0.0000 0.5000 0.2500  4 Ir 2.72
Tl 0.5000 0.0000 0.7500  4 Ir 2.72
Tl 0.5000 0.5000 0.5000  4 Ir 2.72
Ir 0.2001 0.2500 0.6250  2 Ru 2.37
Ir 0.2500 0.7001 0.8750  2 Ru 2.37
Ir 0.2500 0.7999 0.3750  2 Ru 2.37
Ir 0.2999 0.2500 0.1250  2 Ru 2.37
Ir 0.7001 0.7500 0.1250  2 Ru 2.37
Ir 0.7500 0.2001 0.3750  2 Ru 2.37
Ir 0.7500 0.2999 0.8750  2 Ru 2.37
Ir 0.7999 0.7500 0.6250  2 Ru 2.37
Ru 0.0000 0.0000 0.5000  4 Ir 2.37
Ru 0.0000 0.5000 0.7500  4 Ir 2.37
Ru 0.5000 0.0000 0.2500  4 Ir 2.37
Ru 0.5000 0.5000 0.0000  4 Ir 2.37

Summary:
Symmetry: I-42d (122)
Energy relative to the lowest polymorph listed for this composition, meV per atom: 791
Crystal system: tetragonal
Total moment, μB/atom: 0.000

# 3
Compound: TlIr2Ru
Source: the Alexandria database
Functional: GGA-PBE
Structure: optimized geometry

a = 9.3283 Å, b = 2.8773 Å, c = 4.8903 Å
α = 90.00°, β = 99.28°, γ = 90.00°
Closest atoms and distances in Å follow each position.
Sites, in units of the cell vectors:
Tl 0.0000 0.0000 0.0000  6 Ir 2.79-2.94, 4 Ru 2.84, 2 Tl 2.88
Tl 0.5000 0.5000 0.0000  6 Ir 2.79-2.94, 4 Ru 2.84, 2 Tl 2.88
Ir 0.2407 0.0000 0.7260  4 Ir 2.67-2.88, 3 Ru 2.74-2.82, 3 Tl 2.79-2.94
Ir 0.2593 0.5000 0.2740  4 Ir 2.67-2.88, 3 Ru 2.74-2.82, 3 Tl 2.79-2.94
Ir 0.7407 0.5000 0.7260  4 Ir 2.67-2.88, 3 Ru 2.74-2.82, 3 Tl 2.79-2.94
Ir 0.7593 0.0000 0.2740  4 Ir 2.67-2.88, 3 Ru 2.74-2.82, 3 Tl 2.79-2.94
Ru 0.0000 0.5000 0.5000  6 Ir 2.74-2.82, 4 Tl 2.84, 2 Ru 2.88
Ru 0.5000 0.0000 0.5000  6 Ir 2.74-2.82, 4 Tl 2.84, 2 Ru 2.88

Summary:
Symmetry: C2/m (12)
Energy relative to the lowest polymorph listed for this composition, meV per atom: 74
Crystal system: monoclinic
Total moment, μB/atom: 0.000

# 4
Compound: TlIrRu2
Source: the Alexandria database
Functional: GGA-PBE
Structure: optimized geometry

a = 2.8575 Å, b = 2.8575 Å, c = 7.9048 Å
α = 90.00°, β = 90.00°, γ = 90.00°
Closest atoms and distances in Å follow each position.
Sites, in units of the cell vectors:
Tl 0.0000 0.0000 0.0000  4 Tl 2.86, 4 Ru 2.97, 4 Ir 3.00
Ir 0.5000 0.5000 0.2798  4 Ru 2.72, 4 Ir 2.86, 4 Tl 3.00
Ru 0.0000 0.0000 0.5101  8 Ru 2.64-2.86, 4 Ir 2.72
Ru 0.5000 0.5000 0.7249  8 Ru 2.64-2.86

Summary:
Symmetry: P4mm (99)
Energy relative to the lowest polymorph listed for this composition, meV per atom: 0
Crystal system: tetragonal
Total moment, μB/atom: 0.000

# 5
Compound: Tl2IrRu
Source: the Alexandria database
Functional: GGA-PBE
Structure: optimized geometry

a = 2.9997 Å, b = 4.5886 Å, c = 11.6768 Å
α = 90.00°, β = 90.00°, γ = 90.00°
Closest atoms and distances in Å follow each position.
Sites, in units of the cell vectors:
Tl 0.0000 0.0000 0.0000  4 Ru 2.74, 2 Tl 3.00
Tl 0.0000 0.5000 0.2202  4 Ir 2.95, 2 Ru 2.99, 2 Tl 3.00
Tl 0.5000 0.0000 0.7202  4 Ir 2.95, 2 Ru 2.99, 2 Tl 3.00
Tl 0.5000 0.5000 0.5000  4 Ru 2.74, 2 Tl 3.00
Ir 0.0000 0.5000 0.8140  2 Ru 2.63
Ir 0.5000 0.0000 0.3140  2 Ru 2.63
Ru 0.0000 0.0000 0.4985  2 Ir 2.63, 4 Tl 2.74
Ru 0.5000 0.5000 0.9985  2 Ir 2.63, 4 Tl 2.74

Summary:
Symmetry: Imm2 (44)
Energy relative to the lowest polymorph listed for this composition, meV per atom: 138
Crystal system: orthorhombic
Total moment, μB/atom: 0.000

# 6
Compound: TlIr2Ru
Source: the Alexandria database
Functional: GGA-PBE
Structure: optimized geometry

a = 6.4284 Å, b = 6.4284 Å, c = 6.4284 Å
α = 90.00°, β = 90.00°, γ = 90.00°
Closest atoms and distances in Å follow each position.
Sites, in units of the cell vectors:
Tl 0.0000 0.0000 0.0000  8 Ir 2.78
Tl 0.0000 0.5000 0.5000  8 Ir 2.78
Tl 0.5000 0.0000 0.5000  8 Ir 2.78
Tl 0.5000 0.5000 0.0000  8 Ir 2.78
Ir 0.2500 0.2500 0.2500  4 Tl 2.78, 4 Ru 2.78
Ir 0.2500 0.2500 0.7500  4 Tl 2.78, 4 Ru 2.78
Ir 0.2500 0.7500 0.2500  4 Tl 2.78, 4 Ru 2.78
Ir 0.2500 0.7500 0.7500  4 Tl 2.78, 4 Ru 2.78
Ir 0.7500 0.2500 0.2500  4 Tl 2.78, 4 Ru 2.78
Ir 0.7500 0.2500 0.7500  4 Tl 2.78, 4 Ru 2.78
Ir 0.7500 0.7500 0.2500  4 Tl 2.78, 4 Ru 2.78
Ir 0.7500 0.7500 0.7500  4 Tl 2.78, 4 Ru 2.78
Ru 0.0000 0.0000 0.5000  8 Ir 2.78
Ru 0.0000 0.5000 0.0000  8 Ir 2.78
Ru 0.5000 0.0000 0.0000  8 Ir 2.78
Ru 0.5000 0.5000 0.5000  8 Ir 2.78

Summary:
Symmetry: Fm-3m (225)
Energy relative to the lowest polymorph listed for this composition, meV per atom: 362
Crystal system: cubic
Total moment, μB/atom: 0.713

# 7
Compound: TlIrRu4
Source: the Alexandria database
Functional: GGA-PBE
Structure: optimized geometry

a = 5.1456 Å, b = 5.1456 Å, c = 5.1456 Å
α = 60.00°, β = 60.00°, γ = 60.00°
Closest atoms and distances in Å follow each position.
Sites, in units of the cell vectors:
Tl 0.0000 0.0000 0.0000  12 Ru 3.02, 4 Ir 3.15
Ir 0.7500 0.7500 0.7500  12 Ru 3.02, 4 Tl 3.15
Ru 0.3758 0.3758 0.3758  6 Ru 2.56-2.59
Ru 0.3758 0.3758 0.8726  6 Ru 2.56-2.59
Ru 0.3758 0.8726 0.3758  6 Ru 2.56-2.59
Ru 0.8726 0.3758 0.3758  6 Ru 2.56-2.59

Summary:
Symmetry: F-43m (216)
Crystal system: cubic
Total moment, μB/atom: 0.259

# 8
Compound: TlIr2Ru
Source: the Alexandria database
Functional: GGA-PBE
Structure: optimized geometry

a = 2.8606 Å, b = 2.8606 Å, c = 7.9458 Å
α = 90.00°, β = 90.00°, γ = 90.00°
Closest atoms and distances in Å follow each position.
Sites, in units of the cell vectors:
Tl 0.0000 0.0000 0.0000  4 Tl 2.86, 4 Ru 2.96, 4 Ir 2.98
Ir 0.0000 0.0000 0.5093  4 Ru 2.67, 8 Ir 2.74-2.86
Ir 0.5000 0.5000 0.2759  8 Ir 2.74-2.86, 4 Tl 2.98
Ru 0.5000 0.5000 0.7278  4 Ir 2.67, 4 Ru 2.86, 4 Tl 2.96

Summary:
Symmetry: P4mm (99)
Energy relative to the lowest polymorph listed for this composition, meV per atom: 33
Crystal system: tetragonal
Total moment, μB/atom: 0.000

| no. | calculated volume (Å³/f.u.) | energy of formation from the pure elements (eV per atom) |
| --- | --- | --- |
| 1 | 65 | 0.425 |
| 2 | 99 | 1.157 |
| 3 | 65 | 0.439 |
| 4 | 65 | 0.395 |
| 5 | 80 | 0.561 |
| 6 | 66 | 0.727 |
| 7 | 96 | 0.763 |
| 8 | 65 | 0.398 |